{
  "formula": "LaMo2Rh2",
  "functional": "PBE",
  "state": "optimized geometry",
  "dos_at_fermi_per_ev_cell": 4.43,
  "e_form_mev_per_atom": -72,
  "polymorph_energy_mev_per_atom": 0,
  "crystal_system": "tetragonal",
  "lattice": [[-2.634, -2.111, 1.649], [2.503, -1.117, 2.569], [-1.769, 3.570, 6.023]],
  "species": ["Mo", "Mo", "Rh", "Rh", "La"],
  "frac_coords": [[0.750, 0.250, 0.500], [0.250, 0.750, 0.500], [0.398, 0.398, 0.205], [0.602, 0.602, 0.795], [0.000, 0.000, 0.000]]
}